First-principles (PBE) data for a relaxed K4Cl crystal, as listed in the Alexandria database.

Computed properties:
The size of the total moment is 0.00 μB/cell. The value obtained for the volume is 602.0 Å³/cell. The crystal system is tetragonal. The calculation puts the uncorrected formation energy at -0.4268 eV per atom. The total energy comes out at -1.6741 eV per atom.

Geometry as CIF:
```
data_K4Cl
_space_group_name_H-M_alt 'I 4/m m m'
_space_group_IT_number 139
_space_group_name_Hall '-I 4 2'
_cell_length_a 5.0288
_cell_length_b 5.0288
_cell_length_c 23.8067
_cell_angle_alpha 90.00
_cell_angle_beta 90.00
_cell_angle_gamma 90.00
loop_
_atom_site_label
_atom_site_type_symbol
_atom_site_fract_x
_atom_site_fract_y
_atom_site_fract_z
_atom_site_occupancy
K1 K 0.0000 0.0000 0.0784 1
K2 K 0.0000 0.5000 0.2500 1
Cl1 Cl 0.0000 0.0000 0.5000 1
```

First-principles (PBE) data for a relaxed KCl3 crystal, as listed in the Alexandria database.

Computed properties:
The size of the total moment is 0.21 μB/cell. The value obtained for the volume is 313.0 Å³/cell. The crystal system is orthorhombic. The calculation puts the uncorrected formation energy at -0.7480 eV per atom. The total energy comes out at -2.4073 eV per atom.

Geometry as CIF:
```
data_KCl3
_space_group_name_H-M_alt 'C m m m'
_space_group_IT_number 65
_space_group_name_Hall '-C 2 2'
_cell_length_a 7.1577
_cell_length_b 7.4876
_cell_length_c 5.8400
_cell_angle_alpha 90.00
_cell_angle_beta 90.00
_cell_angle_gamma 90.00
loop_
_atom_site_label
_atom_site_type_symbol
_atom_site_fract_x
_atom_site_fract_y
_atom_site_fract_z
_atom_site_occupancy
K1 K 0.0000 0.0000 0.0000 1
Cl1 Cl 0.0000 0.0000 0.5000 1
Cl2 Cl 0.0000 0.5000 0.1738 1
```

First-principles (PBE) data for a relaxed K3Cl crystal, as listed in the Alexandria database.

Computed properties:
The size of the total moment is 0.00 μB/cell. The value obtained for the volume is 192.3 Å³/cell. The crystal system is tetragonal. The calculation puts the uncorrected formation energy at -0.8683 eV per atom. The total energy comes out at -2.1531 eV per atom.

Geometry as CIF:
```
data_K3Cl
_space_group_name_H-M_alt 'P 4/m m m'
_space_group_IT_number 123
_space_group_name_Hall '-P 4 2'
_cell_length_a 4.0708
_cell_length_b 4.0708
_cell_length_c 11.6033
_cell_angle_alpha 90.00
_cell_angle_beta 90.00
_cell_angle_gamma 90.00
loop_
_atom_site_label
_atom_site_type_symbol
_atom_site_fract_x
_atom_site_fract_y
_atom_site_fract_z
_atom_site_occupancy
K1 K 0.0000 0.0000 0.0000 1
K2 K 0.5000 0.5000 0.3396 1
Cl1 Cl 0.0000 0.0000 0.5000 1
```

First-principles (PBE) data for a relaxed KCl3 crystal, as listed in the Alexandria database.

Computed properties:
The size of the total moment is 0.52 μB/cell. The value obtained for the volume is 229.4 Å³/cell. The crystal system is hexagonal. The calculation puts the uncorrected formation energy at -0.6187 eV per atom. The total energy comes out at -2.2780 eV per atom.

Geometry as CIF:
```
data_KCl3
_space_group_name_H-M_alt 'P 63/m m c'
_space_group_IT_number 194
_space_group_name_Hall '-P 6c 2c'
_cell_length_a 6.0652
_cell_length_b 6.0652
_cell_length_c 7.1991
_cell_angle_alpha 90.00
_cell_angle_beta 90.00
_cell_angle_gamma 120.00
loop_
_atom_site_label
_atom_site_type_symbol
_atom_site_fract_x
_atom_site_fract_y
_atom_site_fract_z
_atom_site_occupancy
K1 K 0.3333 0.6667 0.2500 1
Cl1 Cl 0.1678 0.3357 0.7500 1
```

First-principles (PBE) data for a relaxed KCl3 crystal, as listed in the Alexandria database.

Computed properties:
The size of the total moment is 4.11 μB/cell. The value obtained for the volume is 245.9 Å³/cell. The crystal system is orthorhombic. The calculation puts the uncorrected formation energy at -0.6106 eV per atom. The total energy comes out at -2.2700 eV per atom.

Geometry as CIF:
```
data_KCl3
_space_group_name_H-M_alt 'I m m 2'
_space_group_IT_number 44
_cell_length_a 4.5183
_cell_length_b 12.0874
_cell_length_c 4.5032
_cell_angle_alpha 90.00
_cell_angle_beta 90.00
_cell_angle_gamma 90.00
loop_
_space_group_symop_operation_xyz
'x,y,z'
'-x,-y,z'
'-x,y,z'
'x,-y,z'
'x+1/2,y+1/2,z+1/2'
'-x+1/2,-y+1/2,z+1/2'
'-x+1/2,y+1/2,z+1/2'
'x+1/2,-y+1/2,z+1/2'
loop_
_atom_site_label
_atom_site_type_symbol
_atom_site_fract_x
_atom_site_fract_y
_atom_site_fract_z
_atom_site_occupancy
K1 K 0.0000 0.0000 0.0000 1
Cl1 Cl 0.0000 0.2642 0.0025 1
Cl2 Cl 0.0000 0.5000 0.0001 1
```

First-principles (PBE) data for a relaxed K5Cl4 crystal, as listed in the Alexandria database.

Computed properties:
The size of the total moment is 1.64 μB/cell. The value obtained for the volume is 652.5 Å³/cell. The crystal system is tetragonal. The calculation puts the uncorrected formation energy at -1.4390 eV per atom. The total energy comes out at -2.8694 eV per atom.

Geometry as CIF:
```
data_K5Cl4
_space_group_name_H-M_alt 'I 4/m m m'
_space_group_IT_number 139
_space_group_name_Hall '-I 4 2'
_cell_length_a 11.0523
_cell_length_b 11.0523
_cell_length_c 5.3413
_cell_angle_alpha 90.00
_cell_angle_beta 90.00
_cell_angle_gamma 90.00
loop_
_atom_site_label
_atom_site_type_symbol
_atom_site_fract_x
_atom_site_fract_y
_atom_site_fract_z
_atom_site_occupancy
K1 K 0.0000 0.0000 0.0000 1
K2 K 0.1807 0.1807 0.5000 1
Cl1 Cl 0.0000 0.2661 0.0000 1
```

First-principles (PBE) data for a relaxed KCl3 crystal, as listed in the Alexandria database.

Computed properties:
The size of the total moment is 0.00 μB/cell. The value obtained for the volume is 542.2 Å³/cell. The crystal system is tetragonal. The calculation puts the uncorrected formation energy at -0.6145 eV per atom. The total energy comes out at -2.2739 eV per atom.

Geometry as CIF:
```
data_KCl3
_space_group_name_H-M_alt 'I -4 2 d'
_space_group_IT_number 122
_space_group_name_Hall 'I -4 2bw'
_cell_length_a 5.5717
_cell_length_b 5.5717
_cell_length_c 17.4669
_cell_angle_alpha 90.00
_cell_angle_beta 90.00
_cell_angle_gamma 90.00
loop_
_atom_site_label
_atom_site_type_symbol
_atom_site_fract_x
_atom_site_fract_y
_atom_site_fract_z
_atom_site_occupancy
K1 K 0.0000 0.0000 0.0000 1
Cl1 Cl 0.0000 0.0000 0.5000 1
Cl2 Cl 0.1697 0.2500 0.6250 1
```

First-principles (PBE) data for a relaxed KCl6 crystal, as listed in the Alexandria database.

Computed properties:
The size of the total moment is 2.02 μB/cell. The value obtained for the volume is 519.9 Å³/cell. The crystal system is tetragonal. The calculation puts the uncorrected formation energy at -0.3697 eV per atom. The total energy comes out at -2.1093 eV per atom.

Geometry as CIF:
```
data_KCl6
_space_group_name_H-M_alt 'P 4/n b m'
_space_group_IT_number 125
_cell_length_a 6.9482
_cell_length_b 6.9482
_cell_length_c 10.7687
_cell_angle_alpha 90.00
_cell_angle_beta 90.00
_cell_angle_gamma 90.00
loop_
_space_group_symop_operation_xyz
'x,y,z'
'-x,-y,-z'
'-y+1/2,x,z'
'y+1/2,-x,-z'
'-x+1/2,-y+1/2,z'
'x+1/2,y+1/2,-z'
'y,-x+1/2,z'
'-y,x+1/2,-z'
'x,-y+1/2,-z'
'-x,y+1/2,z'
'-y+1/2,-x+1/2,-z'
'y+1/2,x+1/2,z'
'-x+1/2,y,-z'
'x+1/2,-y,z'
'y,x,-z'
'-y,-x,z'
loop_
_atom_site_label
_atom_site_type_symbol
_atom_site_fract_x
_atom_site_fract_y
_atom_site_fract_z
_atom_site_occupancy
K1 K 0.2500 0.7500 0.0000 1
Cl1 Cl 0.0315 0.5315 0.4123 1
Cl2 Cl 0.2500 0.2500 0.1223 1
```